The following is a DFT calculation (PBE) of a geometry-optimized CuNiPt5 structure.

Unit cell a=6.0983 b=6.0983 c=6.0983 alpha=123.25 beta=96.86 gamma=109.41
Last column: nearest neighbours and their distance in Å.
Fractional coordinates of all 7 atoms:
Cu1 0.0000 0.0000 0.0000  5 Pt 2.51-2.52
Ni1 0.5866 0.0866 0.5000  4 Pt 2.55-2.64
Pt1 0.0912 0.8227 0.2685  3 Pt 2.50-2.52, 1 Cu 2.51, 1 Ni 2.64
Pt2 0.3115 0.0967 0.7853  4 Pt 2.49-2.64, 1 Cu 2.52, 1 Ni 2.55
Pt3 0.3115 0.5262 0.2147  4 Pt 2.49-2.64, 1 Cu 2.52, 1 Ni 2.55
Pt4 0.5541 0.8227 0.7315  3 Pt 2.50-2.52, 1 Cu 2.51, 1 Ni 2.64
Pt5 0.6418 0.6418 0.0000  4 Pt 2.52-2.64, 1 Cu 2.52

Values from the calculation:
Symmetry   Imm2 (44)
Calculated formation energy   820 meV/atom
Crystal system   orthorhombic